This record from the Alexandria database describes a relaxed TeMoAs2Au crystal. The functional is PBE-GGA.

```
5
Lattice="-0.3166 -2.2354 4.3773 5.3412 -0.9064 -0.0766 0.7639 4.3107 2.2567" Properties=species:S:1:pos:R:3 pbc="T T T"
Mo 2.6706 -0.4532 -0.0383
Te 2.8943 0.5844 3.2787
Au 0.0000 0.0000 0.0000
As 0.3820 2.1553 1.1283
As -0.1583 -1.1177 2.1886
```

Values from the calculation:
ΔE_f (raw) ... 1.15 eV per atom
Space-group type ... No. 123



This record from the Alexandria database describes a relaxed NiPd crystal. The functional is PBE-GGA.

```
8
Lattice="-3.9023 -1.5352 -2.6271 0.0026 -4.2740 2.4937 -3.0427 1.9652 3.3713" Properties=species:S:1:pos:R:3 pbc="T T T"
Ni 0.0000 0.0000 0.0000
Ni -1.5201 -1.1544 2.9325
Ni -3.4725 0.2150 0.3721
Ni -1.9498 -2.9046 -0.0667
Pd -3.4712 -1.9220 1.6190
Pd -1.9511 -0.7676 -1.3135
Pd 0.0013 -2.1370 1.2469
Pd -1.5214 0.9826 1.6857
```

Values from the calculation:
Space-group type ... No. 225
E_form ... 0.573 eV/atom



This record from the Alexandria database describes a relaxed ScRh crystal. The functional is PBE-GGA.

```
4
Lattice="-2.1425 4.7409 -1.7993 -5.3734 1.1173 0.4267 4.1768 -1.8299 3.0837" Properties=species:S:1:pos:R:3 pbc="T T T"
Rh 0.0000 0.0000 0.0000
Rh -0.8618 2.9200 0.2991
Sc -2.4773 1.1082 1.4120
Sc -3.7579 2.9291 -0.6863
```

Values from the calculation:
Space-group type ... No. 141
E_form ... -0.799 eV/atom



This record from the Alexandria database describes a relaxed Dy8MgCd2 crystal. The functional is PBE-GGA.

```
11
Lattice="-3.8541 2.9989 2.2164 -2.6835 2.2661 -7.7324 -1.0795 -8.0706 2.5545" Properties=species:S:1:pos:R:3 pbc="T T T"
Dy -3.7172 1.2977 -1.7318
Dy -2.0528 -4.0533 1.9145
Dy -1.3380 -1.3982 -0.4349
Dy -2.3382 0.7738 -5.1127
Dy -6.2791 -1.4074 -2.5265
Dy -5.5643 1.2477 -4.8759
Dy -3.8999 -4.1033 -1.2296
Dy -5.2790 -3.5794 2.1513
Mg -1.9271 1.4994 1.1082
Cd -3.0478 -1.5953 -3.1412
Cd -4.5694 -1.2103 0.1798
```

Values from the calculation:
Space-group type ... No. 12
E_form ... -0.113 eV/atom



Q: What is the formula in the second record?
A: NiPd



Q: Number 1 is which compound?
A: TeMoAs2Au



Copy entry 4 word for word.
This record from the Alexandria database describes a relaxed Dy8MgCd2 crystal. The functional is PBE-GGA.

```
11
Lattice="-3.8541 2.9989 2.2164 -2.6835 2.2661 -7.7324 -1.0795 -8.0706 2.5545" Properties=species:S:1:pos:R:3 pbc="T T T"
Dy -3.7172 1.2977 -1.7318
Dy -2.0528 -4.0533 1.9145
Dy -1.3380 -1.3982 -0.4349
Dy -2.3382 0.7738 -5.1127
Dy -6.2791 -1.4074 -2.5265
Dy -5.5643 1.2477 -4.8759
Dy -3.8999 -4.1033 -1.2296
Dy -5.2790 -3.5794 2.1513
Mg -1.9271 1.4994 1.1082
Cd -3.0478 -1.5953 -3.1412
Cd -4.5694 -1.2103 0.1798
```

Values from the calculation:
Space-group type ... No. 12
E_form ... -0.113 eV/atom